1.
Below is a geometry-optimized PrIn4Sn structure, with properties calculated at the PBE level.

The space group is F-43m (No. 216) and the conventional cell measures 8.6796, 8.6796 and 8.6796 Å, with angles of 90.00, 90.00 and 90.00 degrees. The asymmetric unit holds Pr at (0.0000, 0.0000, 0.0000), In at (0.1248, 0.1248, 0.3752) and Sn at (0.2500, 0.2500, 0.7500).

For the polymorph energy (0 for the lowest one), the calculation gives 0.000 eV per atom. The value obtained for the density of states at the Fermi level is 14.8 states/eV/cell. The formation energy is -151 meV/atom. Its total energy is -82.6 eV for the cell shown.

2.
Below is a geometry-optimized Pr8InSn6 structure, with properties calculated at the PBE level.

The space group is R-3 (No. 148, hexagonal axes) and the conventional cell measures 9.5232, 9.5232 and 19.6114 Å, with angles of 90.00, 90.00 and 120.00 degrees. The asymmetric unit holds Pr at (0.0000, 0.0000, 0.1669), Pr at (0.0066, 0.7144, 0.5974), In at (0.0000, 0.0000, 0.5000) and Sn at (0.0044, 0.6399, 0.4286).

The value obtained for the density of states at the Fermi level is 23.5 states/eV/cell. The formation energy is -575 meV/atom. Its total energy is -220.8 eV for the cell shown.

3.
Below is a geometry-optimized Pr2InSn structure, with properties calculated at the PBE level.

The space group is P4/mmm (No. 123) and the conventional cell measures 5.1130, 5.1130 and 4.4960 Å, with angles of 90.00, 90.00 and 90.00 degrees. The asymmetric unit holds Pr at (0.0000, 0.5000, 0.0000), In at (0.0000, 0.0000, 0.5000) and Sn at (0.5000, 0.5000, 0.5000).

The value obtained for the density of states at the Fermi level is 3.2 states/eV/cell. The formation energy is -593 meV/atom. Its total energy is -18.7 eV for the cell shown.

4.
Below is a geometry-optimized PrInSn2 structure, with properties calculated at the PBE level.

The space group is P4/mmm (No. 123) and the conventional cell measures 4.7517, 4.7517 and 4.8261 Å, with angles of 90.00, 90.00 and 90.00 degrees. The asymmetric unit holds Pr at (0.0000, 0.0000, 0.0000), In at (0.5000, 0.5000, 0.0000) and Sn at (0.0000, 0.5000, 0.5000).

For the polymorph energy (0 for the lowest one), the calculation gives 0.000 eV per atom. The value obtained for the density of states at the Fermi level is 1.2 states/eV/cell. The formation energy is -508 meV/atom. Its total energy is -17.6 eV for the cell shown.